(1)
Material: AgPbClO
Method: DFT, PBE
State: relaxed

N(E_F) ... 0.0000 states/eV/atom
Space group ... No. 160
Total moment ... 0.0 μB per formula unit
Formation energy (no corrections) ... -703 meV per atom

Cell lengths 7.5899, 7.5899, 7.5899 Å; angles 29.14, 29.14, 29.14 degrees
Atoms (fractional coordinates):
Ag  0.0000  0.0000  0.0000
Pb  0.5224  0.5224  0.5224
Cl  0.7377  0.7377  0.7377
O  0.8982  0.8982  0.8982

=====

(2)
Material: YHoSiAg
Method: DFT, PBE
State: relaxed

N(E_F) ... 0.8414 states/eV/atom
Space group ... No. 216
Total moment ... 0.0 μB per formula unit
Formation energy (no corrections) ... -452 meV per atom

Cell lengths 5.0395, 5.0395, 5.0395 Å; angles 60.00, 60.00, 60.00 degrees
Atoms (fractional coordinates):
Y  0.0000  0.0000  0.0000
Ho  0.5000  0.5000  0.5000
Si  0.7500  0.7500  0.7500
Ag  0.2500  0.2500  0.2500

=====

Number 1: total energy -4.04 eV/atom. Number 2: total energy -5.28 eV/atom.